First-principles (PBE) data for an optimized crystal structure of Ho4P3, as listed in Alexandria.

Unit cell a=3.969 b=3.969 c=12.796 alpha=81.08 beta=81.08 gamma=60.00
Fractional coordinates of all 7 atoms:
Ho1 0.375 0.375 0.875
Ho2 0.125 0.125 0.624
Ho3 0.875 0.875 0.376
Ho4 0.625 0.625 0.125
P1 0.753 0.753 0.741
P2 0.247 0.247 0.259
P3 0.000 0.000 0.000

Properties
DOS(E_F): 1.9 states/eV/f.u.
energy of formation: -1.36 eV per atom
VASP energy: -6.30 eV per atom
total moment: 0.00 Bohr magnetons per cell

---

First-principles (PBE) data for an optimized crystal structure of HoP5, as listed in Alexandria.

Unit cell a=9.406 b=4.940 c=5.344 alpha=77.75 beta=90.00 gamma=90.00
Fractional coordinates of all 12 atoms:
Ho1 0.250 0.997 0.347
Ho2 0.750 0.003 0.653
P1 0.593 0.616 0.044
P2 0.093 0.384 0.956
P3 0.407 0.384 0.956
P4 0.907 0.616 0.044
P5 0.528 0.715 0.405
P6 0.028 0.285 0.595
P7 0.472 0.285 0.595
P8 0.972 0.715 0.405
P9 0.250 0.726 0.892
P10 0.750 0.274 0.108

Properties
DOS(E_F): 0.0 states/eV/f.u.
energy of formation: -0.53 eV per atom
VASP energy: -5.80 eV per atom
total moment: 0.00 Bohr magnetons per cell

---

First-principles (PBE) data for an optimized crystal structure of HoP, as listed in Alexandria.

Unit cell a=3.453 b=3.453 c=3.453 alpha=90.00 beta=90.00 gamma=90.00
Fractional coordinates of all 2 atoms:
P1 0.500 0.500 0.500
Ho1 0.000 0.000 0.000

Properties
DOS(E_F): 0.8 states/eV/f.u.
energy of formation: -1.05 eV per atom
VASP energy: -6.05 eV per atom
total moment: 0.00 Bohr magnetons per cell

---

First-principles (PBE) data for an optimized crystal structure of HoP4, as listed in Alexandria.

Unit cell a=5.194 b=5.194 c=5.194 alpha=90.00 beta=90.00 gamma=90.00
Fractional coordinates of all 5 atoms:
P1 0.000 0.000 0.000
P2 0.500 0.000 0.500
P3 0.000 0.500 0.500
P4 0.500 0.500 0.000
Ho1 0.500 0.500 0.500

Properties
DOS(E_F): 6.1 states/eV/f.u.
energy of formation: 1.20 eV per atom
VASP energy: -4.04 eV per atom
total moment: 0.81 Bohr magnetons per cell

---

First-principles (PBE) data for an optimized crystal structure of HoP, as listed in Alexandria.

Unit cell a=3.986 b=3.986 c=3.986 alpha=60.00 beta=60.00 gamma=60.00
Fractional coordinates of all 2 atoms:
P1 0.500 0.500 0.500
Ho1 0.000 0.000 0.000

Properties
DOS(E_F): 0.3 states/eV/f.u.
energy of formation: -1.61 eV per atom
VASP energy: -6.61 eV per atom
total moment: 0.00 Bohr magnetons per cell

---

First-principles (PBE) data for an optimized crystal structure of Ho3PaP4, as listed in Alexandria.

Unit cell a=5.619 b=5.619 c=6.883 alpha=114.09 beta=114.09 gamma=90.00
Fractional coordinates of all 8 atoms:
P1 0.754 0.754 0.509
P2 0.246 0.246 0.491
P3 0.500 0.000 0.000
P4 0.000 0.500 0.000
Pa1 0.000 0.000 0.000
Ho1 0.500 0.500 0.000
Ho2 0.750 0.250 0.500
Ho3 0.250 0.750 0.500

Properties
DOS(E_F): 2.8 states/eV/f.u.
energy of formation: -1.55 eV per atom
VASP energy: -7.16 eV per atom
total moment: 0.00 Bohr magnetons per cell

---

First-principles (PBE) data for an optimized crystal structure of HoPa2P, as listed in Alexandria.

Unit cell a=3.447 b=3.447 c=10.276 alpha=80.35 beta=80.35 gamma=60.00
Fractional coordinates of all 4 atoms:
P1 0.500 0.500 0.500
Pa1 0.105 0.105 0.685
Pa2 0.895 0.895 0.315
Ho1 0.000 0.000 0.000

Properties
DOS(E_F): 7.1 states/eV/f.u.
energy of formation: -0.14 eV per atom
VASP energy: -7.39 eV per atom
total moment: 0.00 Bohr magnetons per cell

---

First-principles (PBE) data for an optimized crystal structure of Ho5PaP6, as listed in Alexandria.

Unit cell a=6.886 b=6.892 c=6.890 alpha=59.99 beta=80.41 gamma=70.55
Fractional coordinates of all 12 atoms:
P1 0.752 0.083 0.329
P2 0.248 0.588 0.329
P3 0.247 0.246 0.000
P4 0.753 0.754 0.000
P5 0.752 0.412 0.671
P6 0.248 0.917 0.671
Pa1 0.000 0.000 0.000
Ho1 0.500 0.168 0.664
Ho2 0.000 0.334 0.333
Ho3 0.500 0.500 0.000
Ho4 0.000 0.666 0.667
Ho5 0.500 0.832 0.336

Properties
DOS(E_F): 4.1 states/eV/f.u.
energy of formation: -1.58 eV per atom
VASP energy: -6.99 eV per atom
total moment: 0.00 Bohr magnetons per cell

---

First-principles (PBE) data for an optimized crystal structure of Ho3PaP4, as listed in Alexandria.

Unit cell a=3.983 b=6.879 c=6.879 alpha=109.48 beta=90.00 gamma=90.00
Fractional coordinates of all 8 atoms:
Ho1 0.000 0.000 0.500
Ho2 0.500 0.500 0.500
Ho3 0.000 0.500 0.000
Pa1 0.500 0.000 0.000
P1 0.000 0.248 0.248
P2 0.500 0.753 0.247
P3 0.000 0.752 0.752
P4 0.500 0.247 0.753

Properties
DOS(E_F): 4.6 states/eV/f.u.
energy of formation: -1.55 eV per atom
VASP energy: -7.15 eV per atom
total moment: 0.00 Bohr magnetons per cell

---

First-principles (PBE) data for an optimized crystal structure of HoPa4P5, as listed in Alexandria.

Unit cell a=5.610 b=6.873 c=6.873 alpha=80.41 beta=65.91 gamma=65.91
Fractional coordinates of all 10 atoms:
Ho1 0.001 0.000 0.000
Pa1 0.400 0.400 0.801
Pa2 0.800 0.801 0.600
Pa3 0.202 0.199 0.400
Pa4 0.602 0.600 0.199
P1 0.901 0.400 0.800
P2 0.301 0.800 0.600
P3 0.701 0.200 0.400
P4 0.101 0.600 0.200
P5 0.501 0.000 0.000

Properties
DOS(E_F): 10.2 states/eV/f.u.
energy of formation: -1.38 eV per atom
VASP energy: -8.34 eV per atom
total moment: 0.00 Bohr magnetons per cell

---

First-principles (PBE) data for an optimized crystal structure of PmHoPa2P4, as listed in Alexandria.

Unit cell a=4.007 b=6.940 c=6.941 alpha=70.53 beta=90.00 gamma=90.00
Fractional coordinates of all 8 atoms:
Pm1 0.500 0.500 0.000
Ho1 0.000 0.500 0.500
Pa1 0.000 0.000 0.000
Pa2 0.500 0.000 0.500
P1 0.000 0.760 0.743
P2 0.000 0.240 0.257
P3 0.500 0.757 0.252
P4 0.500 0.243 0.748

Properties
DOS(E_F): 6.6 states/eV/f.u.
energy of formation: -1.44 eV per atom
VASP energy: -7.69 eV per atom
total moment: 0.00 Bohr magnetons per cell

---

First-principles (PBE) data for an optimized crystal structure of Pm3Ho2PaP6, as listed in Alexandria.

Unit cell a=7.004 b=7.004 c=7.031 alpha=99.54 beta=99.54 gamma=120.00
Fractional coordinates of all 12 atoms:
Pm1 0.168 0.832 0.500
Pm2 0.832 0.168 0.500
Pm3 0.500 0.500 0.500
Ho1 0.334 0.666 0.000
Ho2 0.666 0.334 0.000
Pa1 0.000 0.000 0.000
P1 0.921 0.593 0.762
P2 0.752 0.752 0.238
P3 0.079 0.407 0.238
P4 0.593 0.921 0.762
P5 0.248 0.248 0.762
P6 0.407 0.079 0.238

Properties
DOS(E_F): 3.6 states/eV/f.u.
energy of formation: -1.56 eV per atom
VASP energy: -7.01 eV per atom
total moment: 0.00 Bohr magnetons per cell